# 1
A plane-wave DFT calculation with GGA-PBEsol was carried out for a relaxed structure of Y2ZrHg.

Lattice parameters (Å, degrees): 6.164 6.164 5.464 112.87 112.87 32.04
Atoms (fractional coordinates):
Y (0.000, 0.000, 0.000)
Y (0.213, 0.213, 0.624)
Zr (0.442, 0.442, 0.453)
Hg (0.733, 0.733, 0.108)

Calculated values
DOS(E_F) ... 4.9 states/eV/cell
Energy relative to the elements ... -0.199 eV per atom
SG ... Cm (8)
M_tot ... 0.00 μB/f.u.
Calculated volume ... 25.2 Å³ per atom

---

# 2
A plane-wave DFT calculation with GGA-PBEsol was carried out for a relaxed structure of Na3MgPCO7.

Lattice parameters (Å, degrees): 5.159 6.627 8.827 90.00 90.52 90.00
Atoms (fractional coordinates):
Na (0.237, 0.250, 0.082)
Na (0.252, 0.506, 0.734)
Na (0.252, 0.994, 0.734)
Na (0.748, 0.006, 0.266)
Na (0.748, 0.494, 0.266)
Na (0.763, 0.750, 0.918)
Mg (0.217, 0.750, 0.354)
Mg (0.783, 0.250, 0.646)
P (0.291, 0.250, 0.415)
P (0.709, 0.750, 0.585)
C (0.270, 0.750, 0.064)
C (0.730, 0.250, 0.936)
O (0.043, 0.750, 0.126)
O (0.148, 0.250, 0.568)
O (0.221, 0.062, 0.318)
O (0.221, 0.438, 0.318)
O (0.294, 0.750, 0.919)
O (0.411, 0.750, 0.553)
O (0.473, 0.750, 0.152)
O (0.527, 0.250, 0.848)
O (0.589, 0.250, 0.447)
O (0.706, 0.250, 0.081)
O (0.779, 0.562, 0.682)
O (0.779, 0.938, 0.682)
O (0.852, 0.750, 0.432)
O (0.957, 0.250, 0.874)

Calculated values
DOS(E_F) ... 0.0 states/eV/cell
E_form (uncorrected) ... -2.17 eV/atom
SG ... P2_1/m (11)
Energy above the most stable polymorph in this dataset ... 0 meV/atom
M_tot ... 0.00 μB/f.u.
Calculated volume ... 11.6 Å³ per atom

---

Q: The highest DOS(E_F) belongs to which entry?
A: Y2ZrHg

---

Q: The lowest calculated volume belongs to which entry?
A: Na3MgPCO7